[1]
Entry from Alexandria via LeMat-Bulk: a geometry-optimized YHoEr4S8 structure (PBE).

The structure in POSCAR format:
```
YHoEr4S8
1.0
7.9870 0.0000 0.0000
3.9935 6.9169 0.0000
3.9935 2.3056 6.5343
S Y Er Ho
8 1 4 1
Direct
0.2445 0.7723 0.7388
0.7553 0.2289 0.2605
0.2416 0.2416 0.2751
0.7578 0.7578 0.7267
0.7553 0.7553 0.2605
0.2445 0.2445 0.7388
0.7723 0.2445 0.7388
0.2289 0.7553 0.2605
0.0000 0.0000 0.0000
0.9999 0.5003 0.4999
0.5003 0.9999 0.4999
0.9999 0.9999 0.4999
0.6253 0.6253 0.1242
0.3746 0.3746 0.8763
```

Values from the calculation:
Formation energy (no corrections): -1.929 eV per atom



[2]
Entry from Alexandria via LeMat-Bulk: a geometry-optimized LiAcPrEr structure (PBE).

The structure in POSCAR format:
```
LiAcPrEr
1.0
5.7646 0.0000 0.0000
2.8823 4.9923 0.0000
2.8823 1.6641 4.7068
Pr Ac Li Er
1 1 1 1
Direct
0.5000 0.5000 0.5000
0.7500 0.7500 0.7500
0.2500 0.2500 0.2500
0.0000 0.0000 0.0000
```

Values from the calculation:
Formation enthalpy at 0 K: 23.9 kJ per mole of atoms



[3]
Entry from Alexandria via LeMat-Bulk: a geometry-optimized LiCa2Tl structure (PBE).

The structure in POSCAR format:
```
LiCa2Tl
1.0
10.4019 0.0587 0.0347
9.6762 3.8176 0.0347
9.6762 1.8681 3.3295
Tl Li Ca
1 1 2
Direct
0.7609 0.7609 0.7609
0.4875 0.4875 0.4875
0.2389 0.2389 0.2389
0.0127 0.0127 0.0127
```

Values from the calculation:
Energy above the lowest structure with this stoichiometry: 212 meV per atom
Formation enthalpy at 0 K: -7.8 kJ per mole of atoms



[4]
Entry from Alexandria via LeMat-Bulk: a geometry-optimized YInSe3 structure (PBE).

The structure in POSCAR format:
```
YInSe3
1.0
5.1944 0.0000 0.0000
0.0000 5.1944 0.0000
0.0000 0.0000 5.1944
In Se Y
1 3 1
Direct
0.0000 0.0000 0.0000
0.0000 0.0000 0.5000
0.5000 0.0000 0.0000
0.0000 0.5000 0.0000
0.5000 0.5000 0.5000
```

Values from the calculation:
Energy above the lowest structure with this stoichiometry: 791 meV per atom
Formation energy (no corrections): -0.402 eV per atom



[5]
Entry from Alexandria via LeMat-Bulk: a geometry-optimized Sc3Ta structure (PBE).

The structure in POSCAR format:
```
Sc3Ta
1.0
3.6636 0.0000 0.0000
0.0000 3.6636 0.0000
0.0000 0.0000 6.5977
Sc Ta
3 1
Direct
0.0000 0.0000 0.9723
0.5000 0.5000 0.2500
0.0000 0.0000 0.5277
0.5000 0.5000 0.7500
```

Values from the calculation:
Energy above the lowest structure with this stoichiometry: 111 meV per atom
Formation enthalpy at 0 K: 21.4 kJ per mole of atoms



[6]
Entry from Alexandria via LeMat-Bulk: a geometry-optimized Rb3UHg2Se6 structure (PBE).

The structure in POSCAR format:
```
Rb3UHg2Se6
1.0
8.1014 0.0000 0.0000
-4.0507 7.0160 0.0000
0.0000 0.0000 9.1006
Se Hg Rb U
6 2 3 1
Direct
0.8502 0.7004 0.6980
0.1498 0.8502 0.3020
0.7004 0.8502 0.3020
0.1498 0.2996 0.3020
0.8502 0.1498 0.6980
0.2996 0.1498 0.6980
0.3333 0.6667 0.3200
0.6667 0.3333 0.6800
0.0000 0.0000 0.0000
0.6667 0.3333 0.2954
0.3333 0.6667 0.7046
0.0000 0.0000 0.5000
```

Values from the calculation:
Formation energy (no corrections): -0.773 eV per atom



[7]
Entry from Alexandria via LeMat-Bulk: a geometry-optimized ScVFe2 structure (PBE).

The structure in POSCAR format:
```
ScVFe2
1.0
-0.0037 2.8895 -0.6485
-4.1535 -0.1597 -0.6876
-0.7059 0.9087 4.0528
Sc V Fe
1 1 2
Direct
0.5000 0.5000 0.5000
0.5000 0.0000 0.0000
0.0000 0.0000 0.5000
0.0000 0.5000 0.0000
```

Values from the calculation:
Formation enthalpy at 0 K: -7.2 kJ per mole of atoms



[8]
Entry from Alexandria via LeMat-Bulk: a geometry-optimized InNiIrBr2 structure (PBE).

The structure in POSCAR format:
```
InNiIrBr2
1.0
4.6227 0.0000 0.0000
0.0000 5.5252 0.0000
0.0000 0.0000 4.6227
Ni Br In Ir
1 2 1 1
Direct
0.0000 0.0000 0.0000
0.0000 0.0000 0.5000
0.5000 0.0000 0.0000
0.0000 0.5000 0.0000
0.5000 0.5000 0.5000
```

Values from the calculation:
Formation energy (no corrections): 0.907 eV per atom



[9]
Entry from Alexandria via LeMat-Bulk: a geometry-optimized ZnBPb2W structure (PBE).

The structure in POSCAR format:
```
ZnBPb2W
1.0
-3.8627 -3.0424 -2.2930
2.2415 -0.0808 -3.6689
2.5527 -4.4909 1.6585
Pb W B Zn
2 1 1 1
Direct
0.5000 0.0000 0.0000
0.0000 0.0000 0.5000
0.0000 0.0000 0.0000
0.0000 0.5000 0.0000
0.5000 0.5000 0.5000
```

Values from the calculation:
Formation enthalpy at 0 K: 90.1 kJ per mole of atoms



[10]
Entry from Alexandria via LeMat-Bulk: a geometry-optimized SiMoSe2 structure (PBE).

The structure in POSCAR format:
```
SiMoSe2
1.0
3.1501 0.0000 0.0000
0.0000 3.1501 0.0000
0.0000 0.0000 6.9336
Se Mo Si
2 1 1
Direct
0.0000 0.0000 0.5285
0.0000 0.0000 0.9715
0.5000 0.5000 0.7500
0.5000 0.5000 0.2500
```

Values from the calculation:
Formation energy (no corrections): 0.163 eV per atom



[11]
Entry from Alexandria via LeMat-Bulk: a geometry-optimized Ba6Cd2PtRh structure (PBE).

The structure in POSCAR format:
```
Ba6Cd2PtRh
1.0
8.0913 0.0000 -0.0241
0.0000 8.8407 0.0000
0.0375 0.0000 12.0066
Ba Pt Rh Cd
12 2 2 4
Direct
0.1792 0.1923 0.0493
0.8208 0.8077 0.9507
0.1838 0.1858 0.4499
0.6792 0.3077 0.5493
0.6838 0.3142 0.9499
0.3162 0.6858 0.0501
0.8162 0.8142 0.5501
0.3208 0.6923 0.4507
0.8944 0.5181 0.2469
0.1056 0.4819 0.7531
0.6056 0.0181 0.2531
0.3944 0.9819 0.7469
0.0000 0.5000 0.5000
0.5000 0.0000 0.0000
0.0000 0.5000 0.0000
0.5000 0.0000 0.5000
0.4553 0.4023 0.2505
0.5447 0.5977 0.7495
0.0447 0.9023 0.2495
0.9553 0.0977 0.7505
```

Values from the calculation:
Formation enthalpy at 0 K: -33.7 kJ per mole of atoms



[12]
Entry from Alexandria via LeMat-Bulk: a geometry-optimized Ac4Ge2Au structure (PBE).

The structure in POSCAR format:
```
Ac4Ge2Au
1.0
-1.1851 7.9731 -2.5218
-3.8632 -5.3663 -5.2549
-3.1782 -0.6941 7.7944
Ge Ac Au
4 8 2
Direct
0.2568 0.6318 0.1250
0.8750 0.1318 0.5068
0.3750 0.8682 0.7432
0.4932 0.3682 0.6250
0.1338 0.3845 0.3793
0.7552 0.2545 0.8707
0.4993 0.1155 0.2448
0.6207 0.7545 0.0052
0.1293 0.8845 0.3838
0.9948 0.6155 0.7493
0.2507 0.2455 0.8662
0.6162 0.7455 0.5007
0.7500 0.5000 0.2500
0.0000 0.0000 0.0000
```

Values from the calculation:
Energy above the lowest structure with this stoichiometry: 0 meV per atom
Formation enthalpy at 0 K: -63.4 kJ per mole of atoms



[13]
Entry from Alexandria via LeMat-Bulk: a geometry-optimized CaNi2Se structure (PBE).

The structure in POSCAR format:
```
CaNi2Se
1.0
3.9216 0.0000 0.0000
0.0000 4.0878 -0.0227
0.0000 0.0291 4.8484
Se Ni Ca
1 2 1
Direct
0.5000 0.2500 0.2500
0.0000 0.2498 0.9906
0.0000 0.2502 0.5094
0.5000 0.7500 0.7500
```

Values from the calculation:
Formation energy (no corrections): -0.383 eV per atom



[14]
Entry from Alexandria via LeMat-Bulk: a geometry-optimized PrThHgRu structure (PBE).

The structure in POSCAR format:
```
PrThHgRu
1.0
-0.1301 -2.8025 -4.4098
0.5175 -5.1974 0.1904
-4.1015 -3.0738 -1.0229
Hg Th Pr Ru
1 1 1 1
Direct
0.7500 0.7500 0.7500
0.0000 0.0000 0.0000
0.5000 0.5000 0.5000
0.2500 0.2500 0.2500
```

Values from the calculation:
Energy above the lowest structure with this stoichiometry: 148 meV per atom
Formation enthalpy at 0 K: -19.3 kJ per mole of atoms



[15]
Entry from Alexandria via LeMat-Bulk: a geometry-optimized Te3CSe structure (PBE).

The structure in POSCAR format:
```
Te3CSe
1.0
5.4641 0.0000 0.0000
0.0000 5.4641 0.0000
0.0000 0.0000 5.4641
Se Te C
1 3 1
Direct
0.0000 0.0000 0.0000
0.5000 0.0000 0.0000
0.0000 0.5000 0.0000
0.0000 0.0000 0.5000
0.5000 0.5000 0.5000
```

Values from the calculation:
Energy above the lowest structure with this stoichiometry: 839 meV per atom
Formation energy (no corrections): 1.903 eV per atom



[16]
Entry from Alexandria via LeMat-Bulk: a geometry-optimized CuPd3Br structure (PBE).

The structure in POSCAR format:
```
CuPd3Br
1.0
-2.5711 1.4384 3.6823
-1.6241 -4.3891 0.5805
3.6042 -0.9517 2.8883
Pd Cu Br
3 1 1
Direct
0.5000 0.0000 0.0000
0.0000 0.0000 0.5000
0.0000 0.5000 0.0000
0.5000 0.5000 0.5000
0.0000 0.0000 0.0000
```

Values from the calculation:
Formation energy (no corrections): 0.720 eV per atom



[17]
Entry from Alexandria via LeMat-Bulk: a geometry-optimized Sc2BTe structure (PBE).

The structure in POSCAR format:
```
Sc2BTe
1.0
-3.3789 4.1893 -4.5778
-6.1166 -3.1270 1.6531
-5.2303 2.7245 0.9010
Te Sc B
2 4 2
Direct
0.0000 0.0000 0.0000
0.7500 0.2500 0.5000
0.8750 0.8023 0.7500
0.3750 0.4477 0.7500
0.1977 0.6250 0.2500
0.5523 0.1250 0.2500
0.2500 0.7500 0.5000
0.5000 0.5000 0.0000
```

Values from the calculation:
Energy above the lowest structure with this stoichiometry: 0 meV per atom
Formation energy (no corrections): -0.360 eV per atom



[18]
Entry from Alexandria via LeMat-Bulk: a geometry-optimized TbLu2Pu structure (PBE).

The structure in POSCAR format:
```
TbLu2Pu
1.0
4.8989 0.0000 0.0000
0.0000 4.9042 0.0000
0.0000 0.0000 4.9042
Tb Pu Lu
1 1 2
Direct
0.5000 0.5000 0.5000
0.5000 0.0000 0.0000
0.0000 0.5000 0.0000
0.0000 0.0000 0.5000
```

Values from the calculation:
Energy above the lowest structure with this stoichiometry: 43 meV per atom
Formation enthalpy at 0 K: 12.7 kJ per mole of atoms



[19]
Entry from Alexandria via LeMat-Bulk: a geometry-optimized Nd2HfCuSe5 structure (PBE).

The structure in POSCAR format:
```
Nd2HfCuSe5
1.0
3.9732 0.0000 0.0000
-1.9866 8.7916 0.0000
0.0000 0.0000 12.0270
Nd Se Hf Cu
4 10 2 2
Direct
0.1253 0.2507 0.3134
0.1144 0.2289 0.6941
0.8747 0.7493 0.8134
0.8856 0.7711 0.1941
0.5024 0.0049 0.2739
0.0450 0.0900 0.0518
0.9550 0.9100 0.5518
0.2894 0.5787 0.6689
0.3482 0.6965 0.0068
0.6962 0.3924 0.8568
0.4976 0.9951 0.7739
0.3038 0.6076 0.3568
0.6518 0.3035 0.5068
0.7106 0.4213 0.1689
0.1887 0.3773 0.0149
0.8113 0.6227 0.5149
0.4304 0.8607 0.4434
0.5696 0.1393 0.9434
```

Values from the calculation:
Formation energy (no corrections): -1.423 eV per atom



[20]
Entry from Alexandria via LeMat-Bulk: a geometry-optimized LaSc2PbO structure (PBE).

The structure in POSCAR format:
```
LaSc2PbO
1.0
-1.2832 1.0166 -4.2971
-4.1273 -1.8667 0.7909
-1.7348 4.5071 1.5843
La Sc O Pb
1 2 1 1
Direct
0.0000 0.0000 0.5000
0.0000 0.5000 0.0000
0.5000 0.0000 0.0000
0.0000 0.0000 0.0000
0.5000 0.5000 0.5000
```

Values from the calculation:
Formation energy (no corrections): -1.309 eV per atom



Which spin magnetization belongs to each record? In order, 0.00; 0.00; 0.00; 0.00; 0.00; 1.00; 0.00; 2.29; 0.00; 0.00; 0.00; 0.00; 0.00; 0.00; 0.94; 0.00; 0.00; 6.39; 0.00; 0.00 μB/cell.